(1)
Pr2BiAs (GGA-PBE, relaxed); total DFT energy (no corrections) = -67.64 eV/cell; DOS(E_F) = 1.41 states/eV/f.u.; E_form = -1.1144 eV per atom
1.0
4.413 0.000 0.000
-2.206 3.822 0.000
0.000 0.000 22.869
Pr Bi As
6 3 3
direct
0.000 0.000 0.000
0.000 0.000 0.184
0.333 0.667 0.667
0.333 0.667 0.851
0.667 0.333 0.333
0.667 0.333 0.518
0.000 0.000 0.425
0.333 0.667 0.091
0.667 0.333 0.758
0.000 0.000 0.594
0.333 0.667 0.260
0.667 0.333 0.927

---

(2)
Pr2BiAs (GGA-PBE, relaxed); total DFT energy (no corrections) = -44.60 eV/cell; DOS(E_F) = 1.22 states/eV/f.u.; E_form = -1.0530 eV per atom
1.0
4.373 0.000 0.000
0.000 7.716 0.000
0.000 0.000 7.775
Pr Bi As
4 2 2
direct
0.250 0.005 0.229
0.250 0.495 0.229
0.750 0.505 0.771
0.750 0.995 0.771
0.250 0.250 0.577
0.750 0.750 0.423
0.250 0.750 0.918
0.750 0.250 0.082

---

(3)
Pr3BiAs (GGA-PBE, relaxed); total DFT energy (no corrections) = -111.32 eV/cell; DOS(E_F) = 4.97 states/eV/f.u.; E_form = -0.9923 eV per atom
1.0
8.795 0.000 0.000
0.000 4.427 0.000
0.000 0.000 16.315
Pr Bi As
12 4 4
direct
0.017 0.250 0.106
0.151 0.250 0.536
0.173 0.750 0.287
0.327 0.250 0.787
0.349 0.750 0.036
0.483 0.750 0.606
0.517 0.250 0.394
0.651 0.250 0.964
0.673 0.750 0.213
0.827 0.250 0.713
0.849 0.750 0.464
0.983 0.750 0.894
0.111 0.750 0.691
0.389 0.250 0.191
0.611 0.750 0.809
0.889 0.250 0.309
0.192 0.250 0.949
0.308 0.750 0.449
0.692 0.250 0.551
0.808 0.750 0.051

---

(4)
Pr3Bi2As (GGA-PBE, relaxed); total DFT energy (no corrections) = -133.83 eV/cell; DOS(E_F) = 0.79 states/eV/f.u.; E_form = -1.1179 eV per atom
1.0
0.000 6.410 13.535
4.544 0.000 13.535
4.544 6.410 0.000
Pr Bi As
12 8 4
direct
0.039 0.538 0.196
0.107 0.643 0.643
0.196 0.727 0.039
0.273 0.804 0.462
0.357 0.893 0.893
0.462 0.961 0.273
0.538 0.039 0.727
0.643 0.107 0.107
0.727 0.196 0.538
0.804 0.273 0.961
0.893 0.357 0.357
0.961 0.462 0.804
0.127 0.127 0.623
0.294 0.294 0.456
0.377 0.377 0.873
0.456 0.456 0.294
0.544 0.544 0.706
0.623 0.623 0.127
0.706 0.706 0.544
0.873 0.873 0.377
0.042 0.042 0.208
0.208 0.208 0.042
0.792 0.792 0.958
0.958 0.958 0.792

---

(5)
Pr6BiAs4 (GGA-PBE, relaxed); total DFT energy (no corrections) = -130.73 eV/cell; DOS(E_F) = 4.29 states/eV/f.u.; E_form = -1.2917 eV per atom
1.0
2.178 -7.084 0.000
2.178 7.084 0.000
0.000 0.000 21.842
Pr Bi As
12 2 8
direct
0.000 0.000 0.000
0.000 0.000 0.500
0.169 0.831 0.750
0.273 0.727 0.081
0.273 0.727 0.419
0.460 0.540 0.659
0.460 0.540 0.841
0.540 0.460 0.159
0.540 0.460 0.341
0.727 0.273 0.581
0.727 0.273 0.919
0.831 0.169 0.250
0.162 0.838 0.250
0.838 0.162 0.750
0.092 0.908 0.625
0.092 0.908 0.875
0.363 0.637 0.542
0.363 0.637 0.958
0.637 0.363 0.042
0.637 0.363 0.458
0.908 0.092 0.125
0.908 0.092 0.375

---

(6)
Pr4BiAs2 (GGA-PBE, relaxed); total DFT energy (no corrections) = -80.48 eV/cell; DOS(E_F) = 4.89 states/eV/f.u.; E_form = -1.1343 eV per atom
1.0
2.191 -7.071 0.000
2.191 7.071 0.000
0.000 0.000 14.395
Pr Bi As
8 2 4
direct
0.000 0.000 0.000
0.000 0.000 0.500
0.267 0.733 0.618
0.267 0.733 0.882
0.441 0.559 0.250
0.559 0.441 0.750
0.733 0.267 0.118
0.733 0.267 0.382
0.107 0.893 0.250
0.893 0.107 0.750
0.364 0.636 0.060
0.364 0.636 0.440
0.636 0.364 0.560
0.636 0.364 0.940

---

(7)
Pr3BiAs2 (GGA-PBE, relaxed); total DFT energy (no corrections) = -66.27 eV/cell; DOS(E_F) = 3.51 states/eV/f.u.; E_form = -0.9361 eV per atom
1.0
2.658 -6.525 0.000
2.658 6.525 0.000
0.000 0.000 10.403
Pr Bi As
6 2 4
direct
0.100 0.900 0.750
0.374 0.626 0.549
0.374 0.626 0.951
0.626 0.374 0.049
0.626 0.374 0.451
0.900 0.100 0.250
0.220 0.780 0.250
0.780 0.220 0.750
0.000 0.000 0.000
0.000 0.000 0.500
0.467 0.533 0.250
0.533 0.467 0.750

---

(8)
Pr2BiAs3Rh4 (GGA-PBE, relaxed); total DFT energy (no corrections) = -64.56 eV/cell; DOS(E_F) = 6.04 states/eV/f.u.; E_form = -0.7767 eV per atom
1.0
4.228 0.000 0.000
0.000 4.228 0.000
0.000 0.000 11.111
Pr Bi As Rh
2 1 3 4
direct
0.000 0.500 0.234
0.500 0.000 0.766
0.000 0.000 0.500
0.000 0.500 0.872
0.500 0.000 0.128
0.500 0.500 0.500
0.000 0.000 0.000
0.000 0.500 0.656
0.500 0.000 0.344
0.500 0.500 0.000

---

(9)
PrBi2As2Rh7 (GGA-PBE, relaxed); total DFT energy (no corrections) = -75.99 eV/cell; DOS(E_F) = 10.10 states/eV/f.u.; E_form = -0.2238 eV per atom
1.0
2.876 -2.867 0.000
2.876 2.867 0.000
-2.034 0.000 13.998
Pr Bi As Rh
1 2 2 7
direct
0.000 0.000 0.000
0.114 0.114 0.391
0.886 0.886 0.609
0.414 0.414 0.750
0.586 0.586 0.250
0.054 0.554 0.157
0.371 0.371 0.574
0.446 0.946 0.843
0.500 0.500 0.000
0.554 0.054 0.157
0.629 0.629 0.426
0.946 0.446 0.843

---

(10)
Pr6BiAs3S2 (GGA-PBE, relaxed); formation energy (no corrections) = -151.4 kJ/mol of atoms; total DFT energy (no corrections) = -73.59 eV/cell; DOS(E_F) = 4.28 states/eV/f.u.
1.0
9.380 -2.155 0.000
9.380 2.155 0.000
-1.990 0.000 8.397
Pr Bi As S
6 1 3 2
direct
0.002 0.002 0.267
0.326 0.326 0.913
0.333 0.333 0.416
0.667 0.667 0.584
0.674 0.674 0.087
0.998 0.998 0.733
0.500 0.500 0.000
0.165 0.165 0.831
0.500 0.500 0.500
0.835 0.835 0.169
0.170 0.170 0.337
0.830 0.830 0.663

---

(11)
Pr6BiAs2S3 (GGA-PBE, relaxed); formation energy (no corrections) = -159.3 kJ/mol of atoms; total DFT energy (no corrections) = -74.06 eV/cell; DOS(E_F) = 4.48 states/eV/f.u.
1.0
9.293 -2.137 0.000
9.293 2.137 0.000
-1.892 0.000 8.331
Pr Bi As S
6 1 2 3
direct
0.001 0.001 0.272
0.325 0.325 0.910
0.333 0.333 0.417
0.667 0.667 0.583
0.675 0.675 0.090
0.999 0.999 0.728
0.500 0.500 0.000
0.167 0.167 0.334
0.833 0.833 0.666
0.165 0.165 0.832
0.500 0.500 0.500
0.835 0.835 0.168

---

(12)
Pr4Bi2AsS (GGA-PBE, relaxed); formation energy (no corrections) = -128.2 kJ/mol of atoms; total DFT energy (no corrections) = -46.29 eV/cell; DOS(E_F) = 1.76 states/eV/f.u.
1.0
7.627 0.000 0.000
0.000 4.413 0.000
-2.546 0.000 7.294
Pr Bi As S
4 2 1 1
direct
0.242 0.000 0.226
0.257 0.500 0.773
0.743 0.500 0.227
0.758 0.000 0.774
0.000 0.000 0.500
0.500 0.500 0.500
0.500 0.000 0.000
0.000 0.500 0.000

---

(13)
Pr4Bi2SbAs (GGA-PBE, relaxed); formation energy (no corrections) = -109.3 kJ/mol of atoms; total DFT energy (no corrections) = -44.71 eV/cell; DOS(E_F) = 1.20 states/eV/f.u.
1.0
7.852 0.000 0.000
0.000 4.525 0.000
-2.605 0.000 7.440
Pr Bi Sb As
4 2 1 1
direct
0.237 0.000 0.234
0.246 0.500 0.761
0.754 0.500 0.239
0.763 0.000 0.766
0.000 0.000 0.500
0.500 0.500 0.500
0.500 0.000 0.000
0.000 0.500 0.000

---

(14)
Pr6BiSb3As2 (GGA-PBE, relaxed); formation energy (no corrections) = -119.2 kJ/mol of atoms; total DFT energy (no corrections) = -69.05 eV/cell; DOS(E_F) = 1.83 states/eV/f.u.
1.0
9.779 -2.241 0.000
9.779 2.241 0.000
-2.062 0.000 8.758
Pr Bi Sb As
6 1 3 2
direct
0.006 0.006 0.258
0.329 0.329 0.425
0.330 0.330 0.903
0.670 0.670 0.097
0.671 0.671 0.575
0.994 0.994 0.742
0.500 0.500 0.000
0.164 0.164 0.832
0.500 0.500 0.500
0.836 0.836 0.168
0.168 0.168 0.336
0.832 0.832 0.664

---

(15)
Pr4BiSbAs2 (GGA-PBE, relaxed); formation energy (no corrections) = -122.6 kJ/mol of atoms; total DFT energy (no corrections) = -46.58 eV/cell; DOS(E_F) = 1.16 states/eV/f.u.
1.0
7.679 0.000 0.000
0.000 4.436 0.000
-2.557 0.000 7.328
Pr Bi Sb As
4 1 1 2
direct
0.241 0.000 0.231
0.254 0.500 0.768
0.746 0.500 0.232
0.759 0.000 0.769
0.500 0.500 0.500
0.000 0.000 0.500
0.000 0.500 0.000
0.500 0.000 0.000

---

(16)
Pr4BiAsSe2 (GGA-PBE, relaxed); formation energy (no corrections) = -148.2 kJ/mol of atoms; total DFT energy (no corrections) = -46.90 eV/cell; DOS(E_F) = 3.59 states/eV/f.u.
1.0
7.530 0.000 0.000
0.000 4.376 0.000
-2.554 0.000 7.212
Pr Bi As Se
4 1 1 2
direct
0.242 0.000 0.232
0.252 0.500 0.764
0.748 0.500 0.236
0.758 0.000 0.768
0.500 0.500 0.500
0.500 0.000 0.000
0.000 0.000 0.500
0.000 0.500 0.000

---

(17)
Pr6Bi3AsSe2 (GGA-PBE, relaxed); formation energy (no corrections) = -129.0 kJ/mol of atoms; total DFT energy (no corrections) = -67.98 eV/cell; DOS(E_F) = 4.62 states/eV/f.u.
1.0
9.748 -2.229 0.000
9.748 2.229 0.000
-2.093 0.000 8.693
Pr Bi As Se
6 3 1 2
direct
0.003 0.003 0.235
0.331 0.331 0.426
0.340 0.340 0.911
0.660 0.660 0.089
0.669 0.669 0.574
0.997 0.997 0.765
0.168 0.168 0.833
0.500 0.500 0.500
0.832 0.832 0.167
0.500 0.500 0.000
0.167 0.167 0.334
0.833 0.833 0.666

---

(18)
Pr6Bi3As2Se (GGA-PBE, relaxed); formation energy (no corrections) = -123.8 kJ/mol of atoms; total DFT energy (no corrections) = -68.50 eV/cell; DOS(E_F) = 2.35 states/eV/f.u.
1.0
9.756 -2.226 0.000
9.756 2.226 0.000
-2.142 0.000 8.715
Pr Bi As Se
6 3 2 1
direct
0.006 0.006 0.244
0.328 0.328 0.429
0.335 0.335 0.903
0.665 0.665 0.097
0.672 0.672 0.571
0.994 0.994 0.756
0.165 0.165 0.833
0.500 0.500 0.500
0.835 0.835 0.167
0.167 0.167 0.332
0.833 0.833 0.668
0.500 0.500 0.000

---

(19)
Pr8Bi4AsSe3 (GGA-PBE, relaxed); formation energy (no corrections) = -130.3 kJ/mol of atoms; total DFT energy (no corrections) = -90.47 eV/cell; DOS(E_F) = 6.52 states/eV/f.u.
1.0
4.458 2.574 7.309
-4.458 2.574 7.309
0.000 -5.148 7.309
Pr Bi As Se
8 4 1 3
direct
0.245 0.245 0.245
0.248 0.741 0.741
0.259 0.259 0.752
0.259 0.752 0.259
0.741 0.248 0.741
0.741 0.741 0.248
0.752 0.259 0.259
0.755 0.755 0.755
0.000 0.000 0.000
0.000 0.500 0.500
0.500 0.000 0.500
0.500 0.500 0.000
0.500 0.500 0.500
0.000 0.000 0.500
0.000 0.500 0.000
0.500 0.000 0.000

---

(20)
Pr6Bi2As3Se (GGA-PBE, relaxed); formation energy (no corrections) = -133.3 kJ/mol of atoms; total DFT energy (no corrections) = -70.45 eV/cell; DOS(E_F) = 2.31 states/eV/f.u.
1.0
9.640 -2.199 0.000
9.640 2.199 0.000
-2.121 0.000 8.617
Pr Bi As Se
6 2 3 1
direct
0.005 0.005 0.246
0.333 0.333 0.431
0.339 0.339 0.905
0.661 0.661 0.095
0.667 0.667 0.569
0.995 0.995 0.754
0.166 0.166 0.832
0.834 0.834 0.168
0.167 0.167 0.335
0.500 0.500 0.000
0.833 0.833 0.665
0.500 0.500 0.500

---

Number 1: total magnetic moment 0.0 μB/f.u.. Number 2: total magnetic moment 0.0 μB/f.u.. Number 3: total magnetic moment 0.0 μB/f.u.. Number 4: total magnetic moment 0.0 μB/f.u.. Number 5: total magnetic moment 0.7 μB/f.u.. Number 6: total magnetic moment 0.6 μB/f.u.. Number 7: total magnetic moment 0.0 μB/f.u.. Number 8: total magnetic moment 0.0 μB/f.u.. Number 9: total magnetic moment 0.0 μB/f.u.. Number 10: total magnetic moment 0.0 μB/f.u.. Number 11: total magnetic moment 0.0 μB/f.u.. Number 12: total magnetic moment 0.0 μB/f.u.. Number 13: total magnetic moment 0.0 μB/f.u.. Number 14: total magnetic moment 0.0 μB/f.u.. Number 15: total magnetic moment 0.0 μB/f.u.. Number 16: total magnetic moment 0.0 μB/f.u.. Number 17: total magnetic moment 0.0 μB/f.u.. Number 18: total magnetic moment 0.0 μB/f.u.. Number 19: total magnetic moment 0.0 μB/f.u.. Number 20: total magnetic moment 0.0 μB/f.u..